DFT (PBE) results for a relaxed Na2LiFe2 crystal.

Values from the calculation:
The value obtained for the relative energy among the computed polymorphs is 0 meV per atom. Its calculated formation energy is 485 meV per atom. The space group is I4/mmm. The calculation puts the energy at -19.05 eV per cell.

```
Na2LiFe2
1.0
3.290 0.000 0.000
0.000 3.290 0.000
1.645 1.645 10.498
Na Fe Li
2 2 1
Direct
0.376 0.376 0.248
0.624 0.624 0.752
0.750 0.250 0.500
0.250 0.750 0.500
0.000 0.000 0.000
```

=====

DFT (PBE) results for a relaxed Cs3FePd crystal.

Values from the calculation:
The value obtained for the relative energy among the computed polymorphs is 0 meV per atom. Its calculated formation energy is 723 meV per atom. The space group is Pm-3m. The calculation puts the energy at -12.60 eV per cell.

```
Cs3FePd
1.0
6.668 0.000 0.000
0.000 6.668 0.000
0.000 0.000 6.668
Cs Fe Pd
3 1 1
Direct
0.000 0.500 0.000
0.000 0.000 0.500
0.500 0.000 0.000
0.500 0.500 0.500
0.000 0.000 0.000
```

=====

DFT (PBE) results for a relaxed Ti3CdMo crystal.

Values from the calculation:
The value obtained for the relative energy among the computed polymorphs is 0 meV per atom. Its calculated formation energy is 697 meV per atom. The space group is Pm-3m. The calculation puts the energy at -31.95 eV per cell.

```
Ti3CdMo
1.0
-1.496 -1.154 -4.377
3.371 -3.361 -0.266
-3.021 -3.179 1.871
Mo Ti Cd
1 3 1
Direct
0.000 0.000 0.000
0.000 0.500 0.000
0.000 0.000 0.500
0.500 0.000 0.000
0.500 0.500 0.500
```

=====

DFT (PBE) results for a relaxed Tb2Er6Sc5 crystal.

Values from the calculation:
Its calculated formation energy is 116 meV per atom. The space group is Pbam. The calculation puts the energy at -133.58 eV per cell.

```
Tb2Er6Sc5
1.0
-1.069 -3.234 -0.588
3.329 -2.990 10.388
-17.392 4.500 6.869
Tb Er Sc
4 12 10
Direct
0.000 0.347 0.285
0.000 0.653 0.715
0.000 0.847 0.215
0.000 0.153 0.785
0.000 0.088 0.366
0.000 0.912 0.634
0.000 0.588 0.134
0.000 0.412 0.866
0.500 0.327 0.124
0.500 0.673 0.876
0.500 0.827 0.376
0.500 0.173 0.624
0.000 0.557 0.420
0.000 0.443 0.580
0.000 0.057 0.080
0.000 0.943 0.920
0.500 0.302 0.449
0.500 0.698 0.551
0.500 0.802 0.051
0.500 0.198 0.949
0.500 0.605 0.277
0.500 0.395 0.723
0.500 0.105 0.223
0.500 0.895 0.777
0.500 0.500 0.000
0.500 0.000 0.500
```